! CeGdPuPt, optimized geometry, DFT GGA-PBE; values from VASP
&SYSTEM
  ibrav = 0, nat = 4, ntyp = 4
/
ATOMIC_SPECIES
Gd 157.25 Gd.upf
Ce 140.12 Ce.upf
Pt 195.08 Pt.upf
Pu 244.00 Pu.upf
CELL_PARAMETERS angstrom
5.156 0.000 0.000
2.578 4.465 0.000
2.578 1.488 4.210
ATOMIC_POSITIONS crystal
Gd 0.250 0.250 0.250
Ce 0.750 0.750 0.750
Pt 0.000 0.000 0.000
Pu 0.500 0.500 0.500
! - DFT formation energy (eV per atom) = -0.32

! TbFe3I12, optimized geometry, DFT GGA-PBE; values from VASP
&SYSTEM
  ibrav = 0, nat = 32, ntyp = 3
/
ATOMIC_SPECIES
Tb 158.93 Tb.upf
Fe 55.84 Fe.upf
I 126.90 I.upf
CELL_PARAMETERS angstrom
8.099 0.000 0.000
0.000 13.317 -7.688
0.000 0.000 15.377
ATOMIC_POSITIONS crystal
Tb 0.750 0.667 0.333
Tb 0.250 0.333 0.667
Fe 0.250 0.873 0.568
Fe 0.250 0.695 0.127
Fe 0.250 0.432 0.305
Fe 0.750 0.568 0.695
Fe 0.750 0.305 0.873
Fe 0.750 0.127 0.432
I 0.250 0.966 0.755
I 0.750 0.016 0.506
I 0.513 0.756 0.516
I 0.987 0.756 0.516
I 0.750 0.494 0.509
I 0.987 0.760 0.244
I 0.513 0.760 0.244
I 0.250 0.789 0.034
I 0.513 0.484 0.240
I 0.987 0.484 0.240
I 0.750 0.755 0.789
I 0.250 0.509 0.016
I 0.750 0.491 0.984
I 0.250 0.245 0.211
I 0.013 0.516 0.760
I 0.487 0.516 0.760
I 0.750 0.211 0.966
I 0.487 0.240 0.756
I 0.013 0.240 0.756
I 0.250 0.506 0.491
I 0.487 0.244 0.484
I 0.013 0.244 0.484
I 0.250 0.984 0.494
I 0.750 0.034 0.245
! - raw formation energy (eV per formula unit) = -6.34

! PuScZnO6, optimized geometry, DFT GGA-PBE; values from VASP
&SYSTEM
  ibrav = 0, nat = 18, ntyp = 4
/
ATOMIC_SPECIES
Pu 244.00 Pu.upf
Sc 44.96 Sc.upf
Zn 65.41 Zn.upf
O 16.00 O.upf
CELL_PARAMETERS angstrom
5.422 0.000 0.000
-2.711 4.695 0.000
0.000 0.000 8.944
ATOMIC_POSITIONS crystal
Pu 0.667 0.333 0.250
Pu 0.333 0.667 0.750
Sc 0.333 0.667 0.250
Sc 0.667 0.333 0.750
Zn 0.000 0.000 0.000
Zn 0.000 0.000 0.500
O 0.663 0.648 0.132
O 0.985 0.337 0.132
O 0.337 0.985 0.632
O 0.015 0.663 0.868
O 0.352 0.337 0.368
O 0.985 0.648 0.368
O 0.648 0.985 0.868
O 0.663 0.015 0.368
O 0.015 0.352 0.632
O 0.352 0.015 0.132
O 0.648 0.663 0.632
O 0.337 0.352 0.868
! - raw formation energy (eV per formula unit) = -20.86